Record 1
This record from Alexandria via LeMat-Bulk describes crystalline TiTl2I2Br4 at its relaxed geometry. The functional is GGA-PBE.

Computed properties:
- space group = I4/mmm
- M_tot (μB/f.u.) = 0.00
- raw total energy (eV per formula unit) = -30.61

a b c (Å): 7.779 7.779 7.779
angles (deg): 84.84 123.02 123.02
Atoms (fractional coordinates):
Ti: 0.000 0.000 0.000
Tl: 0.500 0.750 0.250
Tl: 0.500 0.250 0.750
I: 0.000 0.754 0.754
I: 0.000 0.246 0.246
Br: 0.000 0.762 0.238
Br: 0.525 0.762 0.762
Br: 0.000 0.238 0.762
Br: 0.475 0.238 0.238



Record 2
This record from Alexandria via LeMat-Bulk describes crystalline RuC at its relaxed geometry. The functional is GGA-PBE.

Computed properties:
- space group = Pmn2_1
- M_tot (μB/f.u.) = 0.00
- raw total energy (eV per formula unit) = -17.08

a b c (Å): 8.750 3.354 5.359
angles (deg): 90.00 90.00 90.00
Atoms (fractional coordinates):
Ru: 0.780 0.100 0.338
Ru: 0.720 0.900 0.838
Ru: 0.220 0.100 0.338
Ru: 0.280 0.900 0.838
Ru: 0.000 0.570 0.589
Ru: 0.500 0.430 0.089
C: 0.792 0.403 0.692
C: 0.708 0.597 0.192
C: 0.208 0.403 0.692
C: 0.292 0.597 0.192
C: 0.000 0.056 0.353
C: 0.500 0.944 0.853



Record 3
This record from Alexandria via LeMat-Bulk describes crystalline Cd2TeW at its relaxed geometry. The functional is GGA-PBE.

Computed properties:
- space group = I-4m2
- M_tot (μB/f.u.) = 1.42
- raw total energy (eV per formula unit) = -14.80

a b c (Å): 5.345 5.345 5.345
angles (deg): 131.39 131.39 71.19
Last column: magnetic moment on the atom in μB.
Atoms (fractional coordinates):
Te: 0.500 0.500 0.000  -0.02
W: 0.750 0.250 0.500  1.16
Cd: 0.000 0.000 0.000  0.00
Cd: 0.250 0.750 0.500  -0.01



Record 4
This record from Alexandria via LeMat-Bulk describes crystalline InIrW2 at its relaxed geometry. The functional is GGA-PBE.

Computed properties:
- space group = P4mm
- M_tot (μB/f.u.) = 0.00
- raw total energy (eV per formula unit) = -36.46

a b c (Å): 3.257 3.257 6.374
angles (deg): 90.00 90.00 90.00
Atoms (fractional coordinates):
In: 0.000 0.000 0.505
Ir: 0.500 0.500 0.758
W: 0.000 0.000 0.012
W: 0.500 0.500 0.225



Q: Among the records above, which one has the lowest raw total energy?
A: InIrW2



Q: What is the M_tot in the first record?
A: 0.00 μB/f.u.